MgSiPS2 at its PBEsol-relaxed geometry. Source: Alexandria via LeMat-Bulk, functional meta-GGA SCAN.

Results
Electronic total energy = -40.8 eV/cell

a = 4.659 Å, b = 4.659 Å, c = 4.751 Å
α = 90.00°, β = 90.00°, γ = 90.00°
Space group P4/mmm (No. 123)
One atom of each set of equivalent atoms:
Mg: 0.000 0.000 0.000 (multiplicity 1)
Si: 0.500 0.500 0.500 (multiplicity 1)
P: 0.000 0.000 0.500 (multiplicity 1)
S: 0.000 0.500 0.000 (multiplicity 2)